Entry 1:
Pr3NdPt (GGA-PBE, relaxed); raw total energy = -26.34 eV/cell; space group = Pm-3m; magnetization = 1.0 μB per formula unit; E_form = -0.238 eV/atom; excess energy over the best structure of this formula in the dataset = 1.11 eV/f.u.
1.0
5.721 0.000 0.000
0.000 5.721 0.000
0.000 0.000 5.721
Pr Nd Pt
3 1 1
Cartesian
0.000 0.000 2.860
0.000 2.860 0.000
2.860 0.000 0.000
2.860 2.860 2.860
0.000 0.000 0.000

***

Entry 2:
Pr2NdPt (GGA-PBE, relaxed); raw total energy = -64.19 eV/cell; space group = R-3m; magnetization = 0.5 μB per formula unit; E_form = -0.257 eV/atom; excess energy over the best structure of this formula in the dataset = 1.41 eV/f.u.
1.0
3.856 0.000 0.000
-1.928 3.340 0.000
0.000 0.000 32.582
Pr Nd Pt
6 3 3
Cartesian
0.000 0.000 3.574
0.000 0.000 29.008
0.000 2.226 18.147
0.000 2.226 25.295
1.928 1.113 7.287
1.928 1.113 14.435
0.000 0.000 0.000
0.000 2.226 21.721
1.928 1.113 10.861
0.000 0.000 16.291
0.000 2.226 5.430
1.928 1.113 27.152

***

Entry 3:
Pr2NdPt (GGA-PBE, relaxed); raw total energy = -22.22 eV/cell; space group = P4/mmm; magnetization = 0.0 μB per formula unit; E_form = -0.464 eV/atom; excess energy over the best structure of this formula in the dataset = 0.58 eV/f.u.
1.0
3.710 0.000 0.000
0.000 3.710 0.000
0.000 0.000 8.818
Pr Nd Pt
2 1 1
Cartesian
0.000 0.000 1.706
0.000 0.000 7.112
1.855 1.855 4.409
1.855 1.855 0.000